(1)
First-principles (PBE-GGA) data for HgSbCl6 after structural relaxation, as listed in Alexandria.

Cell and atoms, written as POSCAR:
```
HgSbCl6
1.0
6.651 0.009 0.008
3.318 5.765 0.012
3.316 1.917 6.025
Cl Hg Sb
6 1 1
direct
0.763 0.093 0.757
0.613 0.237 0.243
0.093 0.387 0.757
0.387 0.763 0.757
0.907 0.613 0.243
0.237 0.907 0.243
0.500 0.500 0.500
0.000 0.000 0.000
```

Values from the calculation:
- uncorrected formation energy (eV/atom) = -0.60
- magnetic moment (μB per atom) = 0.00



(2)
First-principles (PBE-GGA) data for Hg2Sb2Cl after structural relaxation, as listed in Alexandria.

Cell and atoms, written as POSCAR:
```
Hg2Sb2Cl
1.0
-1.457 -7.781 -0.928
6.704 -1.726 3.950
-2.224 -0.032 3.761
Cl Hg Sb
2 4 4
direct
0.000 0.000 0.000
0.500 0.500 0.000
0.818 0.318 0.500
0.682 0.818 0.500
0.182 0.682 0.500
0.318 0.182 0.500
0.873 0.627 0.000
0.373 0.873 0.000
0.127 0.373 0.000
0.627 0.127 0.000
```

Values from the calculation:
- energy above the lowest structure with this stoichiometry (meV/atom) = 0
- uncorrected formation energy (eV/atom) = 0.02
- magnetic moment (μB per atom) = 0.00



(3)
First-principles (PBE-GGA) data for Hg2SbCl after structural relaxation, as listed in Alexandria.

Cell and atoms, written as POSCAR:
```
Hg2SbCl
1.0
3.454 -0.013 0.000
-1.763 2.971 0.000
0.000 0.000 10.623
Hg Sb Cl
2 1 1
direct
0.000 0.000 0.994
0.500 0.500 0.258
0.000 0.000 0.522
0.500 0.500 0.726
```

Values from the calculation:
- energy above the lowest structure with this stoichiometry (meV/atom) = 203
- uncorrected formation energy (eV/atom) = -0.05
- magnetic moment (μB per atom) = 0.00



Which formula does entry 3 have? Hg2SbCl